(1)
Below is an optimized crystal structure of Al2NiCl, with properties calculated at the GGA-PBE level.

The space group is Immm (No. 71) and the conventional cell measures 2.994, 5.705 and 8.028 Å, with angles of 90.00, 90.00 and 90.00 degrees. Symmetry generates all atoms from Al at (0.000, 0.000, 0.235), Ni at (0.000, 0.500, 0.500) and Cl at (0.000, 0.500, 0.000).

***

(2)
Below is an optimized crystal structure of Al2NiCl, with properties calculated at the GGA-PBE level.

The space group is C2/m (No. 12) and the conventional cell measures 7.127, 6.537 and 2.801 Å, with angles of 90.00, 103.13 and 90.00 degrees. Symmetry generates all atoms from Al at (0.250, 0.250, 0.000), Ni at (0.000, 0.000, 0.500) and Cl at (0.000, 0.500, 0.500).

***

(3)
Below is an optimized crystal structure of Al2NiCl, with properties calculated at the GGA-PBE level.

The space group is I-42d (No. 122) and the conventional cell measures 5.927, 5.927 and 10.283 Å, with angles of 90.00, 90.00 and 90.00 degrees. Symmetry generates all atoms from Al at (0.192, 0.250, 0.125), Ni at (0.000, 0.000, 0.000) and Cl at (0.000, 0.000, 0.500).

***

Relative energies in eV/atom: (1) 0.125; (2) 0.000; (3) 0.091

***

(1)
Below is an optimized crystal structure of Al2NiCl8, with properties calculated at the GGA-PBE level.

The space group is C2/c (No. 15) and the conventional cell measures 14.174, 8.444 and 11.566 Å, with angles of 90.00, 91.98 and 90.00 degrees. Symmetry generates all atoms from Al at (0.079, 0.232, 0.050), Ni at (0.000, 0.012, 0.250), Cl at (0.063, 0.213, 0.382), Cl at (0.075, 0.204, 0.862), Cl at (0.140, 0.024, 0.137) and Cl at (0.148, 0.445, 0.090).

***

(2)
Below is an optimized crystal structure of Al2NiCl8, with properties calculated at the GGA-PBE level.

The space group is C2/m (No. 12) and the conventional cell measures 12.062, 8.622 and 6.977 Å, with angles of 90.00, 97.03 and 90.00 degrees. Symmetry generates all atoms from Al at (0.209, 0.000, 0.319), Ni at (0.000, 0.000, 0.000), Cl at (0.104, 0.181, 0.157), Cl at (0.126, 0.500, 0.747) and Cl at (0.189, 0.000, 0.615).

***

Relative energies in eV/atom: (1) 0.000; (2) 0.025

***

(1)
Below is an optimized crystal structure of Al2NiCl2, with properties calculated at the GGA-PBE level.

The space group is I4/mmm (No. 139) and the conventional cell measures 4.021, 4.021 and 11.540 Å, with angles of 90.00, 90.00 and 90.00 degrees. Symmetry generates all atoms from Al at (0.000, 0.000, 0.107), Ni at (0.000, 0.000, 0.500) and Cl at (0.000, 0.500, 0.250).

***

(2)
Below is an optimized crystal structure of Al2NiCl2, with properties calculated at the GGA-PBE level.

The space group is P4/mbm (No. 127) and the conventional cell measures 6.696, 6.696 and 4.734 Å, with angles of 90.00, 90.00 and 90.00 degrees. Symmetry generates all atoms from Al at (0.232, 0.268, 0.000), Ni at (0.000, 0.000, 0.000) and Cl at (0.177, 0.323, 0.500).

***

Relative energies in eV/atom: (1) 0.458; (2) 0.000

***

(1)
Below is an optimized crystal structure of AlNi2Cl, with properties calculated at the GGA-PBE level.

The space group is C2/m (No. 12) and the conventional cell measures 7.711, 3.075 and 6.634 Å, with angles of 90.00, 113.11 and 90.00 degrees. Symmetry generates all atoms from Al at (0.000, 0.000, 0.000), Ni at (0.157, 0.500, 0.850) and Cl at (0.000, 0.500, 0.500).

***

(2)
Below is an optimized crystal structure of AlNi2Cl, with properties calculated at the GGA-PBE level.

The space group is P4/mmm (No. 123) and the conventional cell measures 4.254, 4.254 and 2.969 Å, with angles of 90.00, 90.00 and 90.00 degrees. Symmetry generates all atoms from Al at (0.000, 0.000, 0.000), Ni at (0.000, 0.500, 0.500) and Cl at (0.500, 0.500, 0.000).

***

(3)
Below is an optimized crystal structure of AlNi2Cl, with properties calculated at the GGA-PBE level.

The space group is I-42d (No. 122) and the conventional cell measures 5.315, 5.315 and 10.281 Å, with angles of 90.00, 90.00 and 90.00 degrees. Symmetry generates all atoms from Al at (0.000, 0.000, 0.000), Ni at (0.224, 0.250, 0.625) and Cl at (0.000, 0.000, 0.500).

***

Relative energies in eV/atom: (1) 0.000; (2) 0.346; (3) 0.369

***

(1)
Below is an optimized crystal structure of AlNi2Cl, with properties calculated at the GGA-PBE level.

The space group is F-43m (No. 216) and the conventional cell measures 6.052, 6.052 and 6.052 Å, with angles of 90.00, 90.00 and 90.00 degrees. Symmetry generates all atoms from Al at (0.000, 0.000, 0.000), Ni at (0.000, 0.000, 0.500), Ni at (0.250, 0.250, 0.250) and Cl at (0.250, 0.250, 0.750).

***

(2)
Below is an optimized crystal structure of AlNi2Cl, with properties calculated at the GGA-PBE level.

The space group is Pmm2 (No. 25) and the conventional cell measures 3.077, 3.724 and 5.805 Å, with angles of 90.00, 90.00 and 90.00 degrees. Symmetry generates all atoms from Al at (0.000, 0.000, 0.000), Ni at (0.000, 0.500, 0.740), Ni at (0.500, 0.500, 0.074) and Cl at (0.500, 0.500, 0.464).

***

(3)
Below is an optimized crystal structure of AlNi2Cl, with properties calculated at the GGA-PBE level.

The space group is Imm2 (No. 44) and the conventional cell measures 2.935, 3.652 and 11.201 Å, with angles of 90.00, 90.00 and 90.00 degrees. Symmetry generates all atoms from Al at (0.000, 0.000, 0.000), Ni at (0.000, 0.000, 0.440), Ni at (0.000, 0.500, 0.131) and Cl at (0.000, 0.500, 0.761).

***

(4)
Below is an optimized crystal structure of AlNi2Cl, with properties calculated at the GGA-PBE level.

The space group is C2/m (No. 12) and the conventional cell measures 5.393, 8.209 and 2.949 Å, with angles of 90.00, 122.40 and 90.00 degrees. Symmetry generates all atoms from Al at (0.000, 0.000, 0.000), Ni at (0.250, 0.250, 0.500) and Cl at (0.000, 0.500, 0.000).

***

Relative energies in eV/atom: (1) 0.605; (2) 0.000; (3) 0.185; (4) 0.410

***

(1)
Below is an optimized crystal structure of AlNi2Cl, with properties calculated at the GGA-PBE level.

The space group is Pmmm (No. 47) and the conventional cell measures 2.841, 3.919 and 5.076 Å, with angles of 90.00, 90.00 and 90.00 degrees. Symmetry generates all atoms from Al at (0.000, 0.000, 0.000), Ni at (0.000, 0.500, 0.500), Ni at (0.500, 0.500, 0.000) and Cl at (0.500, 0.000, 0.500).

***

(2)
Below is an optimized crystal structure of AlNi2Cl, with properties calculated at the GGA-PBE level.

The space group is P4/mmm (No. 123) and the conventional cell measures 3.008, 3.008 and 6.068 Å, with angles of 90.00, 90.00 and 90.00 degrees. Symmetry generates all atoms from Al at (0.000, 0.000, 0.000), Ni at (0.500, 0.500, 0.209) and Cl at (0.000, 0.000, 0.500).

***

(3)
Below is an optimized crystal structure of AlNi2Cl, with properties calculated at the GGA-PBE level.

The space group is Fm-3m (No. 225) and the conventional cell measures 6.007, 6.007 and 6.007 Å, with angles of 90.00, 90.00 and 90.00 degrees. Symmetry generates all atoms from Al at (0.000, 0.000, 0.000), Ni at (0.250, 0.250, 0.250) and Cl at (0.000, 0.000, 0.500).

***

Relative energies in eV/atom: (1) 0.251; (2) 0.000; (3) 0.357

***

(1)
Below is an optimized crystal structure of AlNi2Cl, with properties calculated at the GGA-PBE level.

The space group is Cmmm (No. 65) and the conventional cell measures 5.351, 7.019 and 2.862 Å, with angles of 90.00, 90.00 and 90.00 degrees. Symmetry generates all atoms from Al at (0.000, 0.000, 0.000), Ni at (0.250, 0.250, 0.500) and Cl at (0.000, 0.500, 0.000).

***

(2)
Below is an optimized crystal structure of AlNi2Cl, with properties calculated at the GGA-PBE level.

The space group is P2/m (No. 10) and the conventional cell measures 3.102, 2.943 and 6.329 Å, with angles of 90.00, 90.15 and 90.00 degrees. Symmetry generates all atoms from Al at (0.000, 0.000, 0.000), Ni at (0.499, 0.500, 0.801) and Cl at (0.500, 0.000, 0.500).

***

(3)
Below is an optimized crystal structure of AlNi2Cl, with properties calculated at the GGA-PBE level.

The space group is R-3m (No. 166, hexagonal axes) and the conventional cell measures 2.9472, 2.9472 and 21.9429 Å, with angles of 90.00, 90.00 and 120.00 degrees. Symmetry generates all atoms from Al at (0.0000, 0.0000, 0.0000), Ni at (0.0000, 0.0000, 0.2510) and Cl at (0.0000, 0.0000, 0.5000).

***

Relative energies in eV/atom: (1) 0.451; (2) 0.000; (3) 0.189

***

(1)
Below is an optimized crystal structure of AlNi2Cl, with properties calculated at the GGA-PBE level.

The space group is P4mm (No. 99) and the conventional cell measures 3.138, 3.138 and 6.237 Å, with angles of 90.00, 90.00 and 90.00 degrees. Symmetry generates all atoms from Al at (0.000, 0.000, 0.000), Ni at (0.000, 0.000, 0.612), Ni at (0.500, 0.500, 0.841) and Cl at (0.500, 0.500, 0.460).

***

(2)
Below is an optimized crystal structure of AlNi2Cl, with properties calculated at the GGA-PBE level.

The space group is I4/mmm (No. 139) and the conventional cell measures 4.007, 4.007 and 6.730 Å, with angles of 90.00, 90.00 and 90.00 degrees. Symmetry generates all atoms from Al at (0.000, 0.000, 0.000), Ni at (0.000, 0.500, 0.250) and Cl at (0.000, 0.000, 0.500).

***

Relative energies in eV/atom: (1) 0.000; (2) 0.262

***

(1)
Below is an optimized crystal structure of Al3NiCl, with properties calculated at the GGA-PBE level.

The space group is Pm-3m (No. 221) and the conventional cell measures 4.726, 4.726 and 4.726 Å, with angles of 90.00, 90.00 and 90.00 degrees. Symmetry generates all atoms from Al at (0.000, 0.000, 0.500), Ni at (0.500, 0.500, 0.500) and Cl at (0.000, 0.000, 0.000).

***

(2)
Below is an optimized crystal structure of Al3NiCl, with properties calculated at the GGA-PBE level.

The space group is Pm-3m (No. 221) and the conventional cell measures 4.579, 4.579 and 4.579 Å, with angles of 90.00, 90.00 and 90.00 degrees. Symmetry generates all atoms from Al at (0.000, 0.000, 0.500), Ni at (0.000, 0.000, 0.000) and Cl at (0.500, 0.500, 0.500).

***

Relative energies in eV/atom: (1) 1.320; (2) 0.000

***

(1)
Below is an optimized crystal structure of AlS2ClO, with properties calculated at the GGA-PBE level.

The space group is P4/mmm (No. 123) and the conventional cell measures 3.891, 3.891 and 5.741 Å, with angles of 90.00, 90.00 and 90.00 degrees. Symmetry generates all atoms from Al at (0.000, 0.000, 0.000), S at (0.000, 0.500, 0.500), Cl at (0.500, 0.500, 0.000) and O at (0.500, 0.500, 0.500).

***

(2)
Below is an optimized crystal structure of AlS2ClO, with properties calculated at the GGA-PBE level.

The space group is P4/mmm (No. 123) and the conventional cell measures 4.663, 4.663 and 4.658 Å, with angles of 90.00, 90.00 and 90.00 degrees. Symmetry generates all atoms from Al at (0.000, 0.000, 0.000), S at (0.000, 0.500, 0.000), Cl at (0.000, 0.000, 0.500) and O at (0.500, 0.500, 0.500).

***

Relative energies in eV/atom: (1) 0.000; (2) 0.064